{"formula": "SrCa4Mg2", "functional": "PBE", "state": "optimized geometry", "lattice_angstrom": [[10.1257, 0.0000, 0.0000], [0.0000, 10.1257, 0.0000], [0.0000, 0.0000, 5.4791]], "species": ["Sr", "Sr", "Ca", "Ca", "Ca", "Ca", "Ca", "Ca", "Ca", "Ca", "Mg", "Mg", "Mg", "Mg"], "fractional_positions": [[0.0000, 0.0000, 0.0000], [0.5000, 0.5000, 0.5000], [0.0923, 0.3419, 0.5000], [0.1581, 0.5923, 0.0000], [0.3419, 0.0923, 0.5000], [0.4077, 0.8419, 0.0000], [0.5923, 0.1581, 0.0000], [0.6581, 0.9077, 0.5000], [0.8419, 0.4077, 0.0000], [0.9077, 0.6581, 0.5000], [0.2185, 0.7815, 0.5000], [0.2815, 0.2815, 0.0000], [0.7185, 0.7185, 0.0000], [0.7815, 0.2185, 0.5000]], "e_tot_ev_per_atom": -1.783, "e_above_lowest_polymorph_ev_per_atom": 0.038, "delta_e_f_mev_per_atom": 56, "dos_at_fermi_per_ev_atom": 1.176, "space_group": "P4_2/mnm, No. 136"}